[1]
This record from OQMD via LeMat-Bulk describes a geometry-optimized DyY2Tm structure. The functional is PBE-GGA.

DFT formation energy ... 0.4 kJ per mole of atoms
E_tot ... -43.98 eV for the cell shown

abc: 5.629 7.217 7.217
angles: 60.00 90.00 90.00
Atoms (fractional coordinates):
Y 0.000 0.833 0.333
Y 0.500 0.166 0.166
Y 0.000 0.333 0.833
Y 0.000 0.834 0.834
Tm 0.500 0.667 0.166
Tm 0.500 0.166 0.667
Dy 0.500 0.667 0.667
Dy 0.000 0.333 0.333

***

[2]
This record from OQMD via LeMat-Bulk describes a geometry-optimized HfMg2Pt structure. The functional is PBE-GGA.

E_tot ... -21.24 eV for the cell shown

abc: 4.655 4.655 4.655
angles: 60.00 60.00 60.00
Atoms (fractional coordinates):
Mg 0.750 0.750 0.750
Mg 0.000 0.000 0.000
Pt 0.500 0.500 0.500
Hf 0.250 0.250 0.250

***

Q: Look up the E_tot of the first one.
A: -43.98 eV for the cell shown